First-principles (PBE) data for an optimized crystal structure of BaY2Pb, as listed in Alexandria.

abc: 5.1768 5.1768 4.9978
angles: 90.00 90.00 90.00
Closest atoms and distances in Å follow each position.
Element x y z (fractional)
1 Ba 0.0000 0.0000 0.0000  8 Y 3.60, 4 Pb 3.66
2 Y 0.0000 0.5000 0.5000  4 Ba 3.60, 4 Pb 3.60, 4 Y 3.66
3 Y 0.5000 0.0000 0.5000  4 Ba 3.60, 4 Pb 3.60, 4 Y 3.66
4 Pb 0.5000 0.5000 0.0000  8 Y 3.60, 4 Ba 3.66

Calculated values
Space group   P4/mmm (123)
Calculated total energy   -4.7442 eV/atom
Fermi-level density of states   1.1360 states/eV per atom
Theoretical density   6.48 g/cm³
Size of the total moment   1.3 μB per cell